#one
This record from the Alexandria database describes crystalline PrSmCdGa at its relaxed geometry. The functional is PBE.

Unit cell a=5.339 b=5.339 c=5.339 alpha=60.00 beta=60.00 gamma=60.00
Element x y z (fractional)
Cd: 0.750 0.750 0.750
Ga: 0.250 0.250 0.250
Sm: 0.000 0.000 0.000
Pr: 0.500 0.500 0.500

=====

#two
This record from the Alexandria database describes crystalline PrSmCdGa at its relaxed geometry. The functional is PBE.

Unit cell a=3.659 b=3.659 c=7.966 alpha=90.00 beta=90.00 gamma=90.00
Element x y z (fractional)
Ga: 0.000 0.000 0.365
Cd: 0.000 0.000 0.849
Pr: 0.500 0.500 0.125
Sm: 0.500 0.500 0.590

=====

Most stable pick: #two. Distance to second place: 15 meV/atom.

=====

#one
This record from the Alexandria database describes crystalline TbPrCdGa at its relaxed geometry. The functional is PBE.

Unit cell a=3.664 b=3.664 c=7.774 alpha=90.00 beta=90.00 gamma=90.00
Element x y z (fractional)
Cd: 0.000 0.000 0.842
Ga: 0.000 0.000 0.371
Pr: 0.500 0.500 0.125
Tb: 0.500 0.500 0.591

=====

#two
This record from the Alexandria database describes crystalline TbPrCdGa at its relaxed geometry. The functional is PBE.

Unit cell a=5.297 b=5.297 c=5.297 alpha=60.00 beta=60.00 gamma=60.00
Element x y z (fractional)
Ga: 0.500 0.500 0.500
Tb: 0.750 0.750 0.750
Cd: 0.000 0.000 0.000
Pr: 0.250 0.250 0.250

=====

Most stable pick: #one. Distance to second place: 20 meV/atom.

=====

#one
This record from the Alexandria database describes crystalline PrYCdGa at its relaxed geometry. The functional is PBE.

Unit cell a=3.681 b=3.681 c=7.687 alpha=90.00 beta=90.00 gamma=90.00
Element x y z (fractional)
Cd: 0.000 0.000 0.840
Ga: 0.000 0.000 0.372
Y: 0.500 0.500 0.592
Pr: 0.500 0.500 0.124

=====

#two
This record from the Alexandria database describes crystalline PrYCdGa at its relaxed geometry. The functional is PBE.

Unit cell a=5.292 b=5.292 c=5.292 alpha=60.00 beta=60.00 gamma=60.00
Element x y z (fractional)
Pr: 0.250 0.250 0.250
Cd: 0.500 0.500 0.500
Ga: 0.000 0.000 0.000
Y: 0.750 0.750 0.750

=====

Most stable pick: #one. Distance to second place: 17 meV/atom.